1.
! GGA-PBE Tb2PPt5, relaxed; values from VASP
&SYSTEM
  ibrav = 0, nat = 16, ntyp = 3
/
ATOMIC_SPECIES
Tb 158.93 Tb.upf
P 30.97 P.upf
Pt 195.08 Pt.upf
CELL_PARAMETERS angstrom
5.7943 0.0000 0.0000
0.0000 5.7943 0.0000
0.0000 0.0000 8.7926
ATOMIC_POSITIONS angstrom
Tb 0.0000 2.8972 0.0000
Tb 0.0000 2.8972 4.3963
Tb 2.8972 0.0000 0.0000
Tb 2.8972 0.0000 4.3963
P 0.0000 0.0000 1.2180
P 2.8972 2.8972 5.6143
Pt 0.0000 0.0000 4.4504
Pt 1.3968 1.3968 6.6483
Pt 1.3968 4.3975 6.6483
Pt 1.5004 1.5004 2.2520
Pt 1.5004 4.2940 2.2520
Pt 2.8972 2.8972 0.0541
Pt 4.2940 1.5004 2.2520
Pt 4.2940 4.2940 2.2520
Pt 4.3975 1.3968 6.6483
Pt 4.3975 4.3975 6.6483
! Total energy (eV/cell): -105.39
! Energy of formation from the pure elements (kJ per mole of atoms): -94.3
! Crystal system: tetragonal

=====

2.
! GGA-PBE Tb2PPt3, relaxed; values from VASP
&SYSTEM
  ibrav = 0, nat = 6, ntyp = 3
/
ATOMIC_SPECIES
Tb 158.93 Tb.upf
P 30.97 P.upf
Pt 195.08 Pt.upf
CELL_PARAMETERS angstrom
3.7504 0.0000 0.0000
0.0000 4.2615 0.0000
0.0000 0.0000 7.5519
ATOMIC_POSITIONS angstrom
Tb 0.0000 0.0000 0.0000
Tb 0.0000 2.1307 3.6990
P 1.8752 2.1307 6.1150
Pt 1.8752 0.0000 2.5016
Pt 1.8752 0.0000 5.1920
Pt 1.8752 2.1307 0.9058
! Total energy (eV/cell): -39.89
! Energy of formation from the pure elements (kJ per mole of atoms): -114.2
! Crystal system: orthorhombic
! Polymorph energy (0 for the lowest one) (eV/atom): 0.007

=====

3.
! GGA-PBE Tb2PPt3, relaxed; values from VASP
&SYSTEM
  ibrav = 0, nat = 12, ntyp = 3
/
ATOMIC_SPECIES
Tb 158.93 Tb.upf
P 30.97 P.upf
Pt 195.08 Pt.upf
CELL_PARAMETERS angstrom
0.0000 4.2957 7.4569
3.7794 0.0000 7.4569
3.7794 4.2957 0.0000
ATOMIC_POSITIONS angstrom
Tb 5.7601 4.2957 7.4569
Tb 1.8897 2.1479 3.7284
Tb 5.6692 6.4436 11.1853
Tb 1.7987 4.2957 7.4569
P 3.7794 4.2957 4.9916
P 3.7794 4.2957 9.9221
Pt 3.7794 2.2712 6.1423
Pt 3.7794 4.2957 2.6440
Pt 3.7794 2.2712 8.7715
Pt 3.7794 6.3203 6.1423
Pt 3.7794 4.2957 12.2697
Pt 3.7794 6.3203 8.7715
! Total energy (eV/cell): -79.87
! Energy of formation from the pure elements (kJ per mole of atoms): -114.8
! Crystal system: orthorhombic
! Polymorph energy (0 for the lowest one) (eV/atom): 0.000

=====

4.
! GGA-PBE TbPPt3, relaxed; values from VASP
&SYSTEM
  ibrav = 0, nat = 10, ntyp = 3
/
ATOMIC_SPECIES
Tb 158.93 Tb.upf
P 30.97 P.upf
Pt 195.08 Pt.upf
CELL_PARAMETERS angstrom
4.0115 0.0000 0.0000
0.0000 4.0115 0.0000
0.0000 0.0000 10.9965
ATOMIC_POSITIONS angstrom
Tb 0.0000 0.0000 0.0000
Tb 2.0058 2.0058 5.4983
P 0.0000 0.0000 6.8384
P 2.0058 2.0058 1.3402
Pt 0.0000 0.0000 4.5944
Pt 0.0000 2.0058 2.6159
Pt 0.0000 2.0058 8.1142
Pt 2.0058 0.0000 2.6159
Pt 2.0058 0.0000 8.1142
Pt 2.0058 2.0058 10.0927
! Total energy (eV/cell): -66.51
! Energy of formation from the pure elements (kJ per mole of atoms): -98.3
! Crystal system: tetragonal

=====

5.
! GGA-PBE TbPPt6, relaxed; values from VASP
&SYSTEM
  ibrav = 0, nat = 8, ntyp = 3
/
ATOMIC_SPECIES
Tb 158.93 Tb.upf
P 30.97 P.upf
Pt 195.08 Pt.upf
CELL_PARAMETERS angstrom
2.7625 1.5950 5.8830
-2.7625 1.5950 5.8830
0.0000 -3.1899 5.8830
ATOMIC_POSITIONS angstrom
Tb 0.0000 0.0000 0.0000
P 0.0000 0.0000 8.8245
Pt -1.4238 -0.8220 7.2516
Pt 0.0000 -1.6441 10.3975
Pt -1.4238 0.8220 10.3975
Pt 1.4238 -0.8220 7.2516
Pt 0.0000 1.6441 7.2516
Pt 1.4238 0.8220 10.3975
! Total energy (eV/cell): -50.76
! Energy of formation from the pure elements (kJ per mole of atoms): -54.0
! Crystal system: trigonal

=====

6.
! GGA-PBE Tb3P2Pt7, relaxed; values from VASP
&SYSTEM
  ibrav = 0, nat = 12, ntyp = 3
/
ATOMIC_SPECIES
Tb 158.93 Tb.upf
P 30.97 P.upf
Pt 195.08 Pt.upf
CELL_PARAMETERS angstrom
4.1426 0.0000 0.0000
0.0000 4.0185 0.0000
-2.0169 0.0000 13.2023
ATOMIC_POSITIONS angstrom
Tb 0.0000 0.0000 0.0000
Tb 0.0332 2.0093 8.4843
Tb 2.0926 2.0093 4.7180
P 0.0068 0.0000 3.5372
P 2.1189 0.0000 9.6651
Pt 0.0211 2.0093 2.3011
Pt 0.0305 0.0000 5.7934
Pt 0.0417 0.0000 10.9893
Pt 2.0713 2.0093 0.0000
Pt 2.0840 0.0000 2.2129
Pt 2.0952 0.0000 7.4089
Pt 2.1046 2.0093 10.9012
! Total energy (eV/cell): -79.35
! Energy of formation from the pure elements (kJ per mole of atoms): -99.3
! Crystal system: monoclinic

=====

7.
! GGA-PBE Tb2P3Pt9, relaxed; values from VASP
&SYSTEM
  ibrav = 0, nat = 28, ntyp = 3
/
ATOMIC_SPECIES
Tb 158.93 Tb.upf
P 30.97 P.upf
Pt 195.08 Pt.upf
CELL_PARAMETERS angstrom
6.8051 -3.9665 0.0000
6.8051 3.9665 0.0000
-4.5455 0.0000 8.5965
ATOMIC_POSITIONS angstrom
Tb 1.2020 0.6497 2.1587
Tb -1.0707 -0.6497 6.4570
Tb 10.1354 0.6497 2.1395
Tb 7.8626 -0.6497 6.4378
P 3.4025 1.9832 0.0000
P 3.2235 2.2279 4.3365
P 3.5684 2.2279 8.5583
P 1.1298 -1.9832 4.2983
P 5.4962 -2.2279 0.0383
P 5.8412 -2.2279 4.2600
Pt 5.6125 3.4470 0.6890
Pt 5.7249 3.4470 3.6093
Pt 1.0904 0.7248 5.0356
Pt 4.1861 1.4621 2.3395
Pt 0.9581 0.8316 8.0485
Pt 3.3959 1.1340 6.4474
Pt 3.3632 -0.7248 0.7373
Pt 7.1513 1.4621 1.9587
Pt 3.2309 -0.8316 3.7502
Pt 5.8338 0.8316 4.8463
Pt 1.9134 -1.4621 6.6378
Pt 5.7015 0.7248 7.8592
Pt 5.6687 -1.1340 2.1491
Pt 8.1065 -0.8316 0.5480
Pt 4.8785 -1.4621 6.2570
Pt 7.9742 -0.7248 3.5610
Pt 3.3397 -3.4470 4.9872
Pt 3.4522 -3.4470 7.9076
! Total energy (eV/cell): -180.07
! Energy of formation from the pure elements (kJ per mole of atoms): -70.1
! Crystal system: monoclinic

=====

8.
! GGA-PBE Tb2P2Pt3, relaxed; values from VASP
&SYSTEM
  ibrav = 0, nat = 14, ntyp = 3
/
ATOMIC_SPECIES
Tb 158.93 Tb.upf
P 30.97 P.upf
Pt 195.08 Pt.upf
CELL_PARAMETERS angstrom
10.0313 0.0000 0.0000
0.0000 3.9422 0.0000
-3.1308 0.0000 6.3255
ATOMIC_POSITIONS angstrom
Tb 0.4723 0.0000 1.7090
Tb 1.4126 1.9711 4.6166
Tb 5.4879 1.9711 1.7090
Tb 6.4283 0.0000 4.6166
P -0.6517 0.0000 4.4546
P 2.5366 1.9711 1.8710
P 4.3640 1.9711 4.4546
P 7.5522 0.0000 1.8710
Pt -1.5654 1.9711 3.1628
Pt -1.7060 1.9711 5.9824
Pt 3.5909 0.0000 0.3431
Pt 3.4503 0.0000 3.1628
Pt 3.3097 0.0000 5.9824
Pt 8.6066 1.9711 0.3431
! Total energy (eV/cell): -91.74
! Energy of formation from the pure elements (kJ per mole of atoms): -105.7
! Crystal system: monoclinic

=====

9.
! GGA-PBE Tb4Te2PPt, relaxed; values from VASP
&SYSTEM
  ibrav = 0, nat = 8, ntyp = 4
/
ATOMIC_SPECIES
Tb 158.93 Tb.upf
Te 127.60 Te.upf
P 30.97 P.upf
Pt 195.08 Pt.upf
CELL_PARAMETERS angstrom
7.3669 0.0000 0.0000
0.0000 4.1442 0.0000
-2.3970 0.0000 7.0712
ATOMIC_POSITIONS angstrom
Tb 1.2032 0.0000 1.5201
Tb 0.0498 2.0721 5.5876
Tb 4.9200 2.0721 1.4836
Tb 3.7666 0.0000 5.5511
Te -1.1985 0.0000 3.5356
Te 2.4849 2.0721 3.5356
P 0.0000 2.0721 0.0000
Pt 3.6834 0.0000 0.0000
! Total energy (eV/cell): -47.33
! Crystal system: monoclinic

=====

10.
! GGA-PBE Tb6Te3P2Pt, relaxed; values from VASP
&SYSTEM
  ibrav = 0, nat = 12, ntyp = 4
/
ATOMIC_SPECIES
Tb 158.93 Tb.upf
Te 127.60 Te.upf
P 30.97 P.upf
Pt 195.08 Pt.upf
CELL_PARAMETERS angstrom
9.2971 -2.0680 0.0000
9.2971 2.0680 0.0000
-2.1895 0.0000 8.3271
ATOMIC_POSITIONS angstrom
Tb -0.3319 0.0000 1.9056
Tb 5.0852 0.0000 3.6422
Tb 4.3335 0.0000 7.4239
Tb 12.0713 0.0000 0.9032
Tb 11.3196 0.0000 4.6848
Tb 16.7367 0.0000 6.4215
Te 1.2852 0.0000 6.9263
Te 8.2024 0.0000 4.1635
Te 15.1196 0.0000 1.4007
P 2.3882 0.0000 2.8077
P 14.0166 0.0000 5.5194
Pt 9.2971 0.0000 0.0000
! Total energy (eV/cell): -71.47
! Crystal system: monoclinic

=====

11.
! GGA-PBE TbTe2P2Pt7, relaxed; values from VASP
&SYSTEM
  ibrav = 0, nat = 12, ntyp = 4
/
ATOMIC_SPECIES
Tb 158.93 Tb.upf
Te 127.60 Te.upf
P 30.97 P.upf
Pt 195.08 Pt.upf
CELL_PARAMETERS angstrom
-2.0057 2.0057 14.4992
2.0057 -2.0057 14.4992
2.0057 2.0057 -14.4992
ATOMIC_POSITIONS angstrom
Tb 0.0000 0.0000 0.0000
Te 0.0000 0.0000 6.0304
Te 0.0000 0.0000 22.9680
P 0.0000 0.0000 11.0243
P 0.0000 0.0000 17.9741
Pt 2.0057 0.0000 2.1916
Pt 0.0000 0.0000 8.7385
Pt 2.0057 0.0000 12.3075
Pt 0.0000 0.0000 14.4992
Pt 0.0000 2.0057 2.1916
Pt 0.0000 0.0000 20.2599
Pt 0.0000 2.0057 12.3075
! Total energy (eV/cell): -72.20
! Crystal system: tetragonal

=====

12.
! GGA-PBE Tb2ZnPPt6, relaxed; values from VASP
&SYSTEM
  ibrav = 0, nat = 20, ntyp = 4
/
ATOMIC_SPECIES
Tb 158.93 Tb.upf
Zn 65.41 Zn.upf
P 30.97 P.upf
Pt 195.08 Pt.upf
CELL_PARAMETERS angstrom
5.5557 0.0000 0.0000
0.0000 8.6335 0.0000
0.0000 0.0000 8.0641
ATOMIC_POSITIONS angstrom
Tb 1.3889 0.1592 1.8604
Tb 1.3889 4.1575 1.8604
Tb 4.1668 4.4759 6.2038
Tb 4.1668 8.4743 6.2038
Zn 1.3889 6.4751 6.3379
Zn 4.1668 2.1584 1.7262
P 1.3889 2.1584 5.9088
P 4.1668 6.4751 2.1553
Pt 0.0087 6.4751 4.1556
Pt 0.0259 6.4751 0.3528
Pt 1.3889 0.0242 4.9693
Pt 1.3889 4.2925 4.9693
Pt 2.7520 6.4751 0.3528
Pt 2.7691 6.4751 4.1556
Pt 2.7866 2.1584 3.9085
Pt 2.8037 2.1584 7.7113
Pt 4.1668 4.3409 3.0948
Pt 4.1668 8.6093 3.0948
Pt 5.5298 2.1584 7.7113
Pt 5.5469 2.1584 3.9085
! Total energy (eV/cell): -121.72
! Energy of formation from the pure elements (kJ per mole of atoms): -83.7
! Crystal system: orthorhombic